Entry 1:
Density functional theory data (GGA-PBE) for crystalline PmGdTlIr at its relaxed geometry.

Results
Total energy in eV/cell: -126.87
Space group: F-43m
Mass density in Mg/m³: 11.75
Fermi-level density of states in states/eV/cell: 13.77
Crystal system: cubic

Structure (POSCAR):
```
PmGdTlIr
1.0
7.3385 0.0000 0.0000
0.0000 7.3385 0.0000
0.0000 0.0000 7.3385
Pm Gd Tl Ir
4 4 4 4
direct
0.0000 0.0000 0.0000
0.0000 0.5000 0.5000
0.5000 0.0000 0.5000
0.5000 0.5000 0.0000
0.0000 0.0000 0.5000
0.0000 0.5000 0.0000
0.5000 0.0000 0.0000
0.5000 0.5000 0.5000
0.2500 0.2500 0.2500
0.2500 0.7500 0.7500
0.7500 0.2500 0.7500
0.7500 0.7500 0.2500
0.2500 0.2500 0.7500
0.2500 0.7500 0.2500
0.7500 0.2500 0.2500
0.7500 0.7500 0.7500
```


Entry 2:
Density functional theory data (GGA-PBE) for crystalline SrNiMo2 at its relaxed geometry.

Results
Space group: Imm2
Excess energy over the best structure of this formula in the dataset in eV per formula unit: 1.50
Mass density in Mg/m³: 7.09
Fermi-level density of states in states/eV/cell: 6.42
Crystal system: orthorhombic

Structure (POSCAR):
```
SrNiMo2
1.0
3.2861 0.0000 0.0000
0.0000 5.3501 0.0000
0.0000 0.0000 9.0166
Sr Ni Mo
2 2 4
direct
0.0000 0.0000 0.0000
0.5000 0.5000 0.5000
0.0000 0.5000 0.2201
0.5000 0.0000 0.7201
0.0000 0.0000 0.4936
0.0000 0.5000 0.7971
0.5000 0.0000 0.2971
0.5000 0.5000 0.9936
```


Entry 3:
Density functional theory data (GGA-PBE) for crystalline Tl2PtC4N4 at its relaxed geometry.

Results
Space group: P2_1/c
Mass density in Mg/m³: 5.08
Fermi-level density of states in states/eV/cell: 0.00
Energy relative to the elements, uncorrected in meV/atom: 161.6
Crystal system: monoclinic

Structure (POSCAR):
```
Tl2PtC4N4
1.0
6.5574 0.0000 0.0000
0.0000 7.5679 0.0000
-3.7468 0.0000 9.3271
Tl Pt C N
4 2 8 8
direct
0.1989 0.1445 0.4216
0.1989 0.3555 0.9216
0.8011 0.6445 0.0784
0.8011 0.8555 0.5784
0.5000 0.0000 0.0000
0.5000 0.5000 0.5000
0.2384 0.6595 0.4386
0.2384 0.8405 0.9386
0.4947 0.0008 0.8004
0.4947 0.4992 0.3004
0.5053 0.5008 0.6996
0.5053 0.9992 0.1996
0.7616 0.1595 0.0614
0.7616 0.3405 0.5614
0.0860 0.7449 0.9018
0.0860 0.7551 0.4018
0.4916 0.0015 0.6828
0.4916 0.4985 0.1828
0.5084 0.5015 0.8172
0.5084 0.9985 0.3172
0.9140 0.2449 0.5982
0.9140 0.2551 0.0982
```


Number 2 is which compound? SrNiMo2


Please write out number 1 again, unchanged.
Density functional theory data (GGA-PBE) for crystalline PmGdTlIr at its relaxed geometry.

Results
Total energy in eV/cell: -126.87
Space group: F-43m
Mass density in Mg/m³: 11.75
Fermi-level density of states in states/eV/cell: 13.77
Crystal system: cubic

Structure (POSCAR):
```
PmGdTlIr
1.0
7.3385 0.0000 0.0000
0.0000 7.3385 0.0000
0.0000 0.0000 7.3385
Pm Gd Tl Ir
4 4 4 4
direct
0.0000 0.0000 0.0000
0.0000 0.5000 0.5000
0.5000 0.0000 0.5000
0.5000 0.5000 0.0000
0.0000 0.0000 0.5000
0.0000 0.5000 0.0000
0.5000 0.0000 0.0000
0.5000 0.5000 0.5000
0.2500 0.2500 0.2500
0.2500 0.7500 0.7500
0.7500 0.2500 0.7500
0.7500 0.7500 0.2500
0.2500 0.2500 0.7500
0.2500 0.7500 0.2500
0.7500 0.2500 0.2500
0.7500 0.7500 0.7500
```